Compound: Pr2FeO
Source: Alexandria
Functional: PBE+U
Structure: optimized geometry Values from VASP.

Calculated values
Magnetization = 2.80 μB per cell
Final energy = -22.851 eV/cell

```
&SYSTEM
  ibrav = 0, nat = 4, ntyp = 3
/
ATOMIC_SPECIES
Pr 140.91 Pr.upf
Fe 55.84 Fe.upf
O 16.00 O.upf
ATOMIC_POSITIONS crystal
Pr 0.114 0.114 0.659
Pr 0.886 0.886 0.341
Fe 0.000 0.000 0.000
O 0.500 0.500 0.500
CELL_PARAMETERS angstrom
3.550 0.000 0.000
1.775 3.075 0.000
1.775 1.025 9.124
```